Entry from the Alexandria database: a geometry-optimized VRhNF2 structure (PBE with a Hubbard U).

## Properties
Electronic total energy (hartree per atom): -0.204
Total magnetization (μB/atom): 0.70
Distance to the lowest polymorph of the same formula (kJ per mole of atoms): 29.43
V (Å³/atom): 14.381

abc: 4.420 4.420 3.680
angles: 90.00 90.00 90.00
Each line ends with the local moment (μB).
Fractional positions:
N (0.000, 0.000, 0.500)  0.00
F (0.000, 0.500, 0.000)  0.01
F (0.500, 0.000, 0.000)  0.01
Rh (0.000, 0.000, 0.000)  0.04
V (0.500, 0.500, 0.500)  3.01